# 1
First-principles (GGA-PBE) data for crystalline Be3CSe at its relaxed geometry, as listed in Alexandria.

Output
Its raw total energy is -2.838 eV/atom. As for the polymorph energy (0 for the lowest one): 1.869 eV/atom. Its formation energy without anion corrections is 1939 meV/atom. As for the space group: No. 221.

Cell: 4.099 4.099 4.099 Å, 90.00 90.00 90.00°
Fractional coordinates of all 5 atoms:
Be  0.000  0.500  0.000
Be  0.500  0.000  0.000
Be  0.000  0.000  0.500
C  0.500  0.500  0.500
Se  0.000  0.000  0.000

***

# 2
First-principles (GGA-PBE) data for crystalline AcLa3In2 at its relaxed geometry, as listed in Alexandria.

Output
Its raw total energy is -4.353 eV/atom. As for the polymorph energy (0 for the lowest one): 0.052 eV/atom. As for the space group: No. 12.

Cell: 5.180 10.568 8.703 Å, 118.51 90.00 104.19°
Fractional coordinates of all 12 atoms:
La  0.064  0.129  0.451
La  0.379  0.758  0.278
La  0.302  0.604  0.566
La  0.698  0.396  0.434
La  0.936  0.871  0.549
La  0.621  0.242  0.722
In  0.240  0.479  0.848
In  0.516  0.032  0.185
In  0.484  0.968  0.815
In  0.760  0.521  0.152
Ac  0.884  0.768  0.948
Ac  0.116  0.232  0.052

***

# 3
First-principles (GGA-PBE) data for crystalline CaCuHg2 at its relaxed geometry, as listed in Alexandria.

Output
Its raw total energy is -1.712 eV/atom. As for the space group: No. 122.

Cell: 4.545 4.545 10.475 Å, 77.47 77.47 90.00°
Fractional coordinates of all 8 atoms:
Hg  0.375  0.326  0.750
Hg  0.875  0.924  0.750
Hg  0.076  0.625  0.250
Hg  0.674  0.125  0.250
Cu  0.750  0.250  0.500
Cu  0.000  0.000  0.000
Ca  0.500  0.500  0.000
Ca  0.250  0.750  0.500

***

# 4
First-principles (GGA-PBE) data for crystalline La3TlRu at its relaxed geometry, as listed in Alexandria.

Output
Its raw total energy is -5.376 eV/atom. As for the polymorph energy (0 for the lowest one): 0.298 eV/atom. As for the space group: No. 63.

Cell: 7.711 7.711 6.437 Å, 90.00 90.00 127.67°
Fractional coordinates of all 10 atoms:
La  0.950  0.563  0.750
La  0.050  0.437  0.250
La  0.437  0.050  0.750
La  0.563  0.950  0.250
La  0.000  0.000  0.000
La  0.000  0.000  0.500
Ru  0.828  0.172  0.750
Ru  0.172  0.828  0.250
Tl  0.437  0.563  0.750
Tl  0.563  0.437  0.250

***

# 5
First-principles (GGA-PBE) data for crystalline Hf2HPdPt at its relaxed geometry, as listed in Alexandria.

Output
Its raw total energy is -7.505 eV/atom. As for the polymorph energy (0 for the lowest one): 0.039 eV/atom. As for the space group: No. 123.

Cell: 4.425 4.425 3.835 Å, 90.00 90.00 90.00°
Fractional coordinates of all 5 atoms:
Pd  0.500  0.500  0.500
Pt  0.000  0.000  0.500
Hf  0.500  0.000  0.000
Hf  0.000  0.500  0.000
H  0.000  0.000  0.000

***

# 6
First-principles (GGA-PBE) data for crystalline PaInFeAu at its relaxed geometry, as listed in Alexandria.

Output
Its raw total energy is -6.034 eV/atom. As for the space group: No. 216.

Cell: 4.857 4.857 4.857 Å, 60.00 60.00 60.00°
Last column: magnetic moment on the atom in μB.
Fractional coordinates of all 4 atoms:
In  0.250  0.250  0.250  0.00
Fe  0.500  0.500  0.500  2.19
Au  0.000  0.000  0.000  0.06
Pa  0.750  0.750  0.750  -0.70

***

# 7
First-principles (GGA-PBE) data for crystalline Tb3NdEr4 at its relaxed geometry, as listed in Alexandria.

Output
Its raw total energy is -4.440 eV/atom. As for the polymorph energy (0 for the lowest one): 0.162 eV/atom. As for the space group: No. 12.

Cell: 3.456 6.668 11.850 Å, 106.45 98.39 90.00°
Fractional coordinates of all 8 atoms:
Er  0.126  0.370  0.253
Er  0.874  0.630  0.747
Er  0.260  0.758  0.520
Er  0.740  0.242  0.480
Tb  0.126  0.880  0.253
Tb  0.874  0.120  0.747
Tb  0.000  0.500  0.000
Nd  0.500  0.000  0.000

***

# 8
First-principles (GGA-PBE) data for crystalline Ba2CaMg12Cd3 at its relaxed geometry, as listed in Alexandria.

Output
Its raw total energy is -1.354 eV/atom. As for the space group: No. 166.

Cell: 9.920 9.920 9.920 Å, 53.46 53.46 53.46°
Fractional coordinates of all 18 atoms:
Ba  0.586  0.586  0.586
Ba  0.414  0.414  0.414
Mg  0.831  0.462  0.831
Mg  0.217  0.871  0.217
Mg  0.831  0.831  0.462
Mg  0.169  0.538  0.169
Mg  0.783  0.129  0.783
Mg  0.871  0.217  0.217
Mg  0.217  0.217  0.871
Mg  0.783  0.783  0.129
Mg  0.129  0.783  0.783
Mg  0.169  0.169  0.538
Mg  0.462  0.831  0.831
Mg  0.538  0.169  0.169
Cd  0.000  0.500  0.000
Cd  0.000  0.000  0.500
Cd  0.500  0.000  0.000
Ca  0.000  0.000  0.000

***

# 9
First-principles (GGA-PBE) data for crystalline YNi2Pd at its relaxed geometry, as listed in Alexandria.

Output
Its raw total energy is -6.064 eV/atom. As for the space group: No. 38.

Cell: 3.510 3.883 5.137 Å, 90.00 109.90 90.00°
Fractional coordinates of all 4 atoms:
Ni  0.281  0.500  0.403
Ni  0.145  0.000  0.130
Pd  0.852  0.000  0.546
Y  0.552  0.500  0.944

***

# 10
First-principles (GGA-PBE) data for crystalline GeB3W at its relaxed geometry, as listed in Alexandria.

Output
Its raw total energy is -5.267 eV/atom. As for the polymorph energy (0 for the lowest one): 0.924 eV/atom. As for the space group: No. 221.

Cell: 3.967 3.967 3.967 Å, 90.00 90.00 90.00°
Last column: magnetic moment on the atom in μB.
Fractional coordinates of all 5 atoms:
B  0.500  0.000  0.000  0.02
B  0.000  0.500  0.000  0.00
B  0.000  0.000  0.500  0.00
W  0.500  0.500  0.500  -0.94
Ge  0.000  0.000  0.000  -0.04

***

# 11
First-principles (GGA-PBE) data for crystalline KMgFe2 at its relaxed geometry, as listed in Alexandria.

Output
Its raw total energy is -3.812 eV/atom. As for the polymorph energy (0 for the lowest one): 0.608 eV/atom. As for the space group: No. 47.

Cell: 2.885 5.142 5.178 Å, 90.00 90.00 90.00°
Last column: magnetic moment on the atom in μB.
Fractional coordinates of all 4 atoms:
Fe  0.500  0.500  0.000  2.76
Fe  0.000  0.000  0.000  2.84
K  0.500  0.000  0.500  -0.06
Mg  0.000  0.500  0.500  -0.03

***

# 12
First-principles (GGA-PBE) data for crystalline Mn2CrRu at its relaxed geometry, as listed in Alexandria.

Output
Its raw total energy is -9.112 eV/atom. As for the space group: No. 35.

Cell: 2.572 2.572 7.973 Å, 90.00 90.00 109.42°
Last column: magnetic moment on the atom in μB.
Fractional coordinates of all 4 atoms:
Ru  0.000  0.000  0.502  0.16
Mn  0.000  0.000  0.998  -1.73
Mn  0.500  0.500  0.237  2.35
Cr  0.500  0.500  0.762  0.33

***

Question: The lowest raw total energy belongs to which entry?
Answer: Mn2CrRu

***

Question: The lowest raw total energy belongs to which entry?
Answer: Mn2CrRu